Compound: CsFe2BrF
Source: Alexandria via LeMat-Bulk
Functional: PBE with a Hubbard U
Structure: optimized geometry

The structure belongs to space group P4/mmm (No. 123); the cell edges are 4.6626, 4.6626 and 7.6876 Å and the angles 90.00°, 90.00° and 90.00°. The inequivalent atoms are Cs at (0.0000, 0.0000, 0.0000), Fe at (0.0000, 0.5000, 0.5000), Br at (0.5000, 0.5000, 0.0000) and F at (0.5000, 0.5000, 0.5000).

As for the density of states at the Fermi level: 0.79 states/eV per cell. Its total energy is -3.5228 eV/atom.